This record from Alexandria describes a relaxed ThGa3IrOs crystal. The functional is PBE.

Values from the calculation:
**Energy of formation from the pure elements**: -1.20 eV per formula unit
**Spin magnetization**: 0.00 μB per cell
**DOS at the Fermi energy**: 9.2 states/eV per cell
**Crystal system**: orthorhombic

Cell lengths 5.9882, 8.0807, 6.6114 Å; angles 127.67, 90.00, 90.00 degrees
Element x y z (fractional)
Th: 0.7500 0.2575 0.5149
Th: 0.2500 0.7425 0.4851
Ga: 0.2500 0.2456 0.4912
Ga: 0.0000 0.2507 0.0000
Ga: 0.5000 0.7493 0.0000
Ga: 0.5000 0.2507 0.0000
Ga: 0.0000 0.7493 0.0000
Ga: 0.7500 0.7544 0.5088
Ir: 0.2500 0.0126 0.0253
Ir: 0.7500 0.9874 0.9748
Os: 0.2500 0.4771 0.9542
Os: 0.7500 0.5229 0.0458

---

This record from Alexandria describes a relaxed YGa4Ir2Os crystal. The functional is PBE.

Values from the calculation:
**Energy of formation from the pure elements**: -3.41 eV per formula unit
**Spin magnetization**: 0.00 μB per cell
**DOS at the Fermi energy**: 3.5 states/eV per cell
**Crystal system**: trigonal

Cell lengths 4.2596, 4.2596, 8.8431 Å; angles 76.06, 76.06, 60.00 degrees
Element x y z (fractional)
Y: 0.0000 0.0000 0.0000
Ga: 0.3989 0.3989 0.8033
Ga: 0.8682 0.8682 0.3953
Ga: 0.1318 0.1318 0.6047
Ga: 0.6011 0.6011 0.1967
Ir: 0.7589 0.7589 0.7232
Ir: 0.2411 0.2411 0.2768
Os: 0.5000 0.5000 0.5000

---

This record from Alexandria describes a relaxed ZnGaIr2Os crystal. The functional is PBE.

Values from the calculation:
**Energy of formation from the pure elements**: 7.55 eV per formula unit
**Spin magnetization**: 1.91 μB per cell
**DOS at the Fermi energy**: 3.6 states/eV per cell
**Crystal system**: tetragonal

Cell lengths 4.4854, 4.3974, 4.4854 Å; angles 90.00, 90.00, 90.00 degrees
Last column: magnetic moment on the atom in μB.
Element x y z (fractional)
Zn: 0.0000 0.5000 0.0000  -0.02
Ir: 0.0000 0.0000 0.5000  0.09
Ir: 0.5000 0.0000 0.0000  0.20
Os: 0.5000 0.5000 0.5000  1.54
Ga: 0.0000 0.0000 0.0000  -0.01

---

This record from Alexandria describes a relaxed GaPIr2 crystal. The functional is PBE.

Values from the calculation:
**Energy above the most stable polymorph in this dataset**: 49 meV/atom
**Energy of formation from the pure elements**: 0.04 eV per formula unit
**Spin magnetization**: 0.82 μB per cell
**DOS at the Fermi energy**: 3.5 states/eV per cell
**Crystal system**: cubic

Cell lengths 4.3105, 4.3105, 4.3105 Å; angles 60.00, 60.00, 60.00 degrees
Last column: magnetic moment on the atom in μB.
Element x y z (fractional)
P: 0.0000 0.0000 0.0000  0.05
Ir: 0.2500 0.2500 0.2500  0.37
Ir: 0.7500 0.7500 0.7500  0.37
Ga: 0.5000 0.5000 0.5000  0.00

---

This record from Alexandria describes a relaxed GaPIr2 crystal. The functional is PBE.

Values from the calculation:
**Energy above the most stable polymorph in this dataset**: 0 meV/atom
**Energy of formation from the pure elements**: -0.15 eV per formula unit
**Spin magnetization**: 0.00 μB per cell
**DOS at the Fermi energy**: 3.9 states/eV per cell
**Crystal system**: tetragonal

Cell lengths 5.5396, 5.5396, 6.4640 Å; angles 64.63, 64.63, 90.00 degrees
Element x y z (fractional)
P: 0.5000 0.5000 0.0000
P: 0.2500 0.7500 0.5000
Ir: 0.5912 0.1250 0.2500
Ir: 0.1588 0.6250 0.2500
Ir: 0.3750 0.4088 0.7500
Ir: 0.8750 0.8412 0.7500
Ga: 0.0000 0.0000 0.0000
Ga: 0.7500 0.2500 0.5000

---

This record from Alexandria describes a relaxed GaPIr crystal. The functional is PBE.

Values from the calculation:
**Energy of formation from the pure elements**: -0.96 eV per formula unit
**Spin magnetization**: 0.00 μB per cell
**DOS at the Fermi energy**: 7.0 states/eV per cell
**Crystal system**: monoclinic

Cell lengths 5.6799, 6.3123, 6.2922 Å; angles 110.93, 90.00, 90.00 degrees
Element x y z (fractional)
Ga: 0.3936 0.8751 0.6297
Ga: 0.6064 0.1249 0.3703
Ga: 0.1064 0.8751 0.1297
Ga: 0.8936 0.1249 0.8703
P: 0.3785 0.3379 0.1687
P: 0.6215 0.6621 0.8313
P: 0.8785 0.6621 0.3313
P: 0.1215 0.3379 0.6687
Ir: 0.9874 0.6965 0.6957
Ir: 0.5126 0.6965 0.1957
Ir: 0.0126 0.3035 0.3043
Ir: 0.4874 0.3035 0.8043